[1]
## InSeS (PBE)

Data for crystalline InSeS at its relaxed geometry.

Space group = P-1
Calculated total energy = -3.80 eV per atom
Formation energy without anion corrections = -346 meV/atom
Total magnetic moment = 0.00 μB per cell

Unit cell a=4.4829 b=7.7093 c=8.6011 alpha=36.23 beta=73.41 gamma=69.95
With the nearest neighbours (Å) after each atom.
Fractional coordinates of all 6 atoms:
S 0.5875 0.1743 0.7199  1 S 2.08
Se 0.1517 0.3669 0.1286  3 In 2.67-2.76
Se 0.7713 0.6573 0.6495  3 In 2.67-2.76
In 0.3307 0.7987 0.3912  1 S 2.55, 3 Se 2.67-2.76
S 0.3355 0.8499 0.0582  1 S 2.08
In 0.5923 0.2256 0.3869  1 S 2.55, 3 Se 2.67-2.76



[2]
## NdPd8Au2 (PBE)

Data for crystalline NdPd8Au2 at its relaxed geometry.

Energy relative to the elements = -0.30 eV/atom
Space group = C2/m
Calculated total energy = -5.11 eV per atom
Total magnetic moment = 0.00 μB per cell

Unit cell a=4.1316 b=6.4397 c=7.5851 alpha=104.90 beta=105.80 gamma=90.00
With the nearest neighbours (Å) after each atom.
Fractional coordinates of all 11 atoms:
Nd 0.5000 0.0000 0.0000  12 Pd 2.90-2.94
Pd 0.0476 0.7206 0.0951  9 Pd 2.81-2.96, 1 Au 2.81, 2 Nd 2.94
Pd 0.6847 0.9104 0.3694  8 Pd 2.82-2.94, 3 Au 2.83-2.87, 1 Nd 2.90
Pd 0.5915 0.4653 0.1830  8 Pd 2.82-2.92, 3 Au 2.88-2.89, 1 Nd 2.94
Pd 0.1388 0.1904 0.2776  7 Pd 2.82-2.96, 3 Au 2.84-2.85, 2 Nd 2.92
Pd 0.4085 0.5347 0.8170  8 Pd 2.82-2.92, 3 Au 2.88-2.89, 1 Nd 2.94
Au 0.7721 0.3592 0.5441  10 Pd 2.81-2.89, 2 Au 2.93
Au 0.2279 0.6408 0.4559  10 Pd 2.81-2.89, 2 Au 2.93
Pd 0.8612 0.8096 0.7224  7 Pd 2.82-2.96, 3 Au 2.84-2.85, 2 Nd 2.92
Pd 0.9524 0.2794 0.9049  9 Pd 2.81-2.96, 1 Au 2.81, 2 Nd 2.94
Pd 0.3153 0.0896 0.6306  8 Pd 2.82-2.94, 3 Au 2.83-2.87, 1 Nd 2.90



[3]
## Li4BiPd (PBE)

Data for crystalline Li4BiPd at its relaxed geometry.

Energy relative to the elements = -0.43 eV/atom
Space group = C2/c
Calculated total energy = -3.21 eV per atom
Total magnetic moment = 0.00 μB per cell

Unit cell a=5.3642 b=5.3642 c=9.6614 alpha=74.15 beta=74.15 gamma=50.97
With the nearest neighbours (Å) after each atom.
Fractional coordinates of all 12 atoms:
Li 0.3144 0.8164 0.0051  5 Li 2.64-2.88, 1 Pd 2.72, 2 Bi 2.91
Bi 0.0000 0.5000 0.0000  2 Pd 2.86, 12 Li 2.91-3.18
Bi 0.5000 0.0000 0.5000  2 Pd 2.86, 12 Li 2.91-3.18
Li 0.5717 0.0891 0.7671  5 Li 2.68-2.88, 2 Pd 2.80-2.82, 1 Bi 2.91
Pd 0.2394 0.7606 0.7500  6 Li 2.72-2.82, 2 Bi 2.86
Li 0.9109 0.4283 0.7329  5 Li 2.68-2.88, 2 Pd 2.80-2.82, 1 Bi 2.91
Li 0.4283 0.9109 0.2329  5 Li 2.68-2.88, 2 Pd 2.80-2.82, 1 Bi 2.91
Li 0.8164 0.3144 0.5051  5 Li 2.64-2.88, 1 Pd 2.72, 2 Bi 2.91
Li 0.1836 0.6856 0.4949  5 Li 2.64-2.88, 1 Pd 2.72, 2 Bi 2.91
Li 0.0891 0.5717 0.2671  5 Li 2.68-2.88, 2 Pd 2.80-2.82, 1 Bi 2.91
Pd 0.7606 0.2394 0.2500  6 Li 2.72-2.82, 2 Bi 2.86
Li 0.6856 0.1836 0.9949  5 Li 2.64-2.88, 1 Pd 2.72, 2 Bi 2.91



[4]
## LaThCuHg (PBE)

Data for crystalline LaThCuHg at its relaxed geometry.

Energy relative to the elements = -0.15 eV/atom
Space group = F-43m
Calculated total energy = -4.34 eV per atom
Total magnetic moment = 0.00 μB per cell

Unit cell a=5.3148 b=5.3148 c=5.3148 alpha=60.00 beta=60.00 gamma=60.00
With the nearest neighbours (Å) after each atom.
Fractional coordinates of all 4 atoms:
La 0.5000 0.5000 0.5000  4 Hg 3.25, 4 Cu 3.25
Hg 0.7500 0.7500 0.7500  4 Th 3.25, 4 La 3.25
Th 0.0000 0.0000 0.0000  4 Cu 3.25, 4 Hg 3.25
Cu 0.2500 0.2500 0.2500  4 La 3.25, 4 Th 3.25



[5]
## CrCdBr2 (PBE)

Data for crystalline CrCdBr2 at its relaxed geometry.

Space group = R3m
Calculated total energy = -3.74 eV per atom
Formation energy without anion corrections = -271 meV/atom
Total magnetic moment = 4.00 μB per cell

Unit cell a=9.2060 b=9.2060 c=9.2060 alpha=23.87 beta=23.87 gamma=23.87
With the nearest neighbours (Å) after each atom.
Fractional coordinates of all 4 atoms:
Cr 0.7505 0.7505 0.7505  3 Br 2.62
Br 0.2254 0.2254 0.2254  3 Cd 2.81
Cd 0.4933 0.4933 0.4933  3 Br 2.81, 3 Cr 3.00
Br 0.0307 0.0307 0.0307  3 Cr 2.62